[1]
First-principles (PBE-GGA) data for crystalline NiBiBPd2 at its relaxed geometry, as listed in the Alexandria database.

Cell: 4.3508 4.3508 4.0586 Å, 90.00 90.00 90.00°
Space group P4/mmm (No. 123)
One atom of each set of equivalent atoms:
1 Ni 0.0000 0.0000 0.0000 (multiplicity 1)
2 Bi 0.5000 0.5000 0.0000 (multiplicity 1)
3 B 0.0000 0.0000 0.5000 (multiplicity 1)
4 Pd 0.0000 0.5000 0.5000 (multiplicity 2)

formation energy from the elements = -0.10 eV per atom

***

[2]
First-principles (PBE-GGA) data for crystalline MnCrMoPt at its relaxed geometry, as listed in the Alexandria database.

Cell: 6.1193 6.1193 6.1193 Å, 90.00 90.00 90.00°
Space group F-43m (No. 216)
One atom of each set of equivalent atoms:
1 Mn 0.0000 0.0000 0.0000 (multiplicity 4)
2 Cr 0.0000 0.0000 0.5000 (multiplicity 4)
3 Mo 0.2500 0.2500 0.7500 (multiplicity 4)
4 Pt 0.2500 0.2500 0.2500 (multiplicity 4)

formation energy from the elements = -0.08 eV per atom

***

[3]
First-principles (PBE-GGA) data for crystalline SrCdRh2 at its relaxed geometry, as listed in the Alexandria database.

Cell: 3.0421 4.5491 6.1228 Å, 90.00 101.83 90.00°
Space group P2/m (No. 10)
One atom of each set of equivalent atoms:
1 Sr 0.0000 0.0000 0.0000 (multiplicity 1)
2 Cd 0.5000 0.0000 0.5000 (multiplicity 1)
3 Rh 0.3005 0.5000 0.6935 (multiplicity 2)

formation energy from the elements = 0.09 eV per atom

***

[4]
First-principles (PBE-GGA) data for crystalline TaAsBr2N at its relaxed geometry, as listed in the Alexandria database.

Cell: 4.3339 4.3339 4.7086 Å, 90.00 90.00 90.00°
Space group P4/mmm (No. 123)
One atom of each set of equivalent atoms:
1 Ta 0.0000 0.0000 0.0000 (multiplicity 1)
2 As 0.5000 0.5000 0.0000 (multiplicity 1)
3 Br 0.0000 0.5000 0.5000 (multiplicity 2)
4 N 0.5000 0.5000 0.5000 (multiplicity 1)

offset from the most stable computed form = 0.4529 eV/atom
E_form (uncorrected) = 1407.2 meV per atom

***

[5]
First-principles (PBE-GGA) data for crystalline Ta5Mo2 at its relaxed geometry, as listed in the Alexandria database.

Cell: 3.2626 3.2626 22.9469 Å, 90.00 90.00 90.00°
Space group I4/mmm (No. 139)
One atom of each set of equivalent atoms:
1 Ta 0.0000 0.0000 0.0000 (multiplicity 2)
2 Ta 0.0000 0.0000 0.1386 (multiplicity 4)
3 Ta 0.0000 0.0000 0.2863 (multiplicity 4)
4 Mo 0.0000 0.0000 0.4295 (multiplicity 4)

offset from the most stable computed form = 0.0284 eV/atom
formation energy from the elements = -0.11 eV per atom

***

[6]
First-principles (PBE-GGA) data for crystalline Pm5Nd4Dy at its relaxed geometry, as listed in the Alexandria database.

Cell: 10.6091 10.6091 6.2324 Å, 90.00 90.00 90.00°
Space group I4 (No. 79)
One atom of each set of equivalent atoms:
1 Pm 0.0000 0.0000 0.0000 (multiplicity 2)
2 Pm 0.1880 0.1891 0.2738 (multiplicity 8)
3 Nd 0.0006 0.3248 0.7446 (multiplicity 8)
4 Dy 0.0000 0.0000 0.5343 (multiplicity 2)

offset from the most stable computed form = 0.2111 eV/atom
formation energy from the elements = 0.23 eV per atom

***

[7]
First-principles (PBE-GGA) data for crystalline HfTa2Cr at its relaxed geometry, as listed in the Alexandria database.

Cell: 3.8770 3.8770 20.0601 Å, 90.00 90.00 90.00°
Space group I-42d (No. 122)
One atom of each set of equivalent atoms:
1 Hf 0.0000 0.0000 0.0000 (multiplicity 4)
2 Ta 0.2445 0.2500 0.6250 (multiplicity 8)
3 Cr 0.0000 0.0000 0.5000 (multiplicity 4)

offset from the most stable computed form = 0.6678 eV/atom
formation energy from the elements = 0.74 eV per atom

***

[8]
First-principles (PBE-GGA) data for crystalline NaCrRe at its relaxed geometry, as listed in the Alexandria database.

Cell: 2.9719 2.9719 12.5122 Å, 90.00 90.00 90.00°
Space group I4mm (No. 107)
One atom of each set of equivalent atoms:
1 Na 0.0000 0.0000 0.0000 (multiplicity 2)
2 Cr 0.0000 0.0000 0.7031 (multiplicity 2)
3 Re 0.0000 0.0000 0.2969 (multiplicity 2)

offset from the most stable computed form = 0.0885 eV/atom
formation energy from the elements = 0.72 eV per atom

***

Number 1: size of the total moment 0.000 μB per atom, N(E_F) 2.3 states/eV/cell, final energy -5.444 eV/atom. Number 2: size of the total moment 1.238 μB per atom, N(E_F) 4.5 states/eV/cell, final energy -8.998 eV/atom. Number 3: size of the total moment 0.000 μB per atom, N(E_F) 1.6 states/eV/cell, final energy -4.237 eV/atom. Number 4: size of the total moment 0.000 μB per atom, N(E_F) 5.3 states/eV/cell, final energy -4.227 eV/atom. Number 5: size of the total moment 0.000 μB per atom, N(E_F) 18.0 states/eV/cell, final energy -11.671 eV/atom. Number 6: size of the total moment 0.000 μB per atom, N(E_F) 28.7 states/eV/cell, final energy -4.518 eV/atom. Number 7: size of the total moment 0.000 μB per atom, N(E_F) 17.5 states/eV/cell, final energy -10.078 eV/atom. Number 8: size of the total moment 0.129 μB per atom, N(E_F) 5.9 states/eV/cell, final energy -7.082 eV/atom.